No. 1
# TmAl2Pd PBE-GGA relaxed
data_TmAl2Pd
_chemical_formula_sum 'Tm1 Al2 Pd1'
_space_group_name_H-M_alt 'P 4/m m m'
_space_group_IT_number 123
_space_group_name_Hall '-P 4 2'
_cell_length_a 4.092
_cell_length_b 4.092
_cell_length_c 4.432
_cell_angle_alpha 90.00
_cell_angle_beta 90.00
_cell_angle_gamma 90.00
loop_
_atom_site_label
_atom_site_type_symbol
_atom_site_fract_x
_atom_site_fract_y
_atom_site_fract_z
Tm1 Tm 0.000 0.000 0.000
Al1 Al 0.000 0.500 0.500
Pd1 Pd 0.500 0.500 0.000
# Electronic total energy = -19.40 eV/cell
# Formation energy = -0.561 eV/atom
# M_tot = 0.00 μB per cell

=====

No. 2
# Tm2AlPd3 PBE-GGA relaxed
data_Tm2AlPd3
_chemical_formula_sum 'Tm4 Al2 Pd6'
_space_group_name_H-M_alt 'I m m m'
_space_group_IT_number 71
_space_group_name_Hall '-I 2 2'
_cell_length_a 4.232
_cell_length_b 5.371
_cell_length_c 10.857
_cell_angle_alpha 90.00
_cell_angle_beta 90.00
_cell_angle_gamma 90.00
loop_
_atom_site_label
_atom_site_type_symbol
_atom_site_fract_x
_atom_site_fract_y
_atom_site_fract_z
Tm1 Tm 0.000 0.000 0.187
Al1 Al 0.000 0.000 0.500
Pd1 Pd 0.000 0.500 0.128
Pd2 Pd 0.000 0.500 0.500
# Electronic total energy = -65.36 eV/cell
# Formation energy = -0.736 eV/atom
# M_tot = 0.00 μB per cell
# Relative energy among the computed polymorphs = 173.0 meV/atom

=====

No. 3
# Tm6AlPd2 PBE-GGA relaxed
data_Tm6AlPd2
_chemical_formula_sum 'Tm24 Al4 Pd8'
_space_group_name_H-M_alt 'I m m m'
_space_group_IT_number 71
_space_group_name_Hall '-I 2 2'
_cell_length_a 9.324
_cell_length_b 9.494
_cell_length_c 10.197
_cell_angle_alpha 90.00
_cell_angle_beta 90.00
_cell_angle_gamma 90.00
loop_
_atom_site_label
_atom_site_type_symbol
_atom_site_fract_x
_atom_site_fract_y
_atom_site_fract_z
Tm1 Tm 0.000 0.195 0.239
Tm2 Tm 0.203 0.500 0.171
Tm3 Tm 0.216 0.319 0.500
Al1 Al 0.000 0.000 0.000
Al2 Al 0.000 0.000 0.500
Pd1 Pd 0.000 0.340 0.000
Pd2 Pd 0.000 0.500 0.366
# Electronic total energy = -183.42 eV/cell
# Formation energy = -0.544 eV/atom
# M_tot = 0.00 μB per cell

=====

No. 4
# TmAl6Pd3 PBE-GGA relaxed
data_TmAl6Pd3
_chemical_formula_sum 'Tm2 Al12 Pd6'
_space_group_name_H-M_alt 'P 1 21/c 1'
_space_group_IT_number 14
_cell_length_a 6.922
_cell_length_b 6.699
_cell_length_c 8.333
_cell_angle_alpha 90.00
_cell_angle_beta 118.45
_cell_angle_gamma 90.00
loop_
_space_group_symop_operation_xyz
'x,y,z'
'-x,-y,-z'
'-x,y+1/2,-z+1/2'
'x,-y+1/2,z+1/2'
loop_
_atom_site_label
_atom_site_type_symbol
_atom_site_fract_x
_atom_site_fract_y
_atom_site_fract_z
Tm1 Tm 0.000 0.000 0.000
Al1 Al 0.150 0.024 0.674
Al2 Al 0.260 0.683 0.878
Al3 Al 0.460 0.189 0.257
Pd1 Pd 0.194 0.178 0.397
Pd2 Pd 0.500 0.000 0.000
# Electronic total energy = -97.83 eV/cell
# Formation energy = -0.641 eV/atom
# M_tot = 0.00 μB per cell

=====

No. 5
# Tm6Al2Pd PBE-GGA relaxed
data_Tm6Al2Pd
_chemical_formula_sum 'Tm24 Al8 Pd4'
_space_group_name_H-M_alt 'I m m m'
_space_group_IT_number 71
_space_group_name_Hall '-I 2 2'
_cell_length_a 9.595
_cell_length_b 9.625
_cell_length_c 9.906
_cell_angle_alpha 90.00
_cell_angle_beta 90.00
_cell_angle_gamma 90.00
loop_
_atom_site_label
_atom_site_type_symbol
_atom_site_fract_x
_atom_site_fract_y
_atom_site_fract_z
Tm1 Tm 0.000 0.171 0.219
Tm2 Tm 0.173 0.500 0.243
Tm3 Tm 0.189 0.238 0.500
Al1 Al 0.000 0.367 0.000
Al2 Al 0.137 0.000 0.000
Pd1 Pd 0.000 0.000 0.500
Pd2 Pd 0.000 0.500 0.500
# Electronic total energy = -170.54 eV/cell
# Formation energy = -0.348 eV/atom
# M_tot = 0.00 μB per cell
# Relative energy among the computed polymorphs = 0.0 meV/atom

=====

No. 6
# Tm4AlPd7 PBE-GGA relaxed
data_Tm4AlPd7
_chemical_formula_sum 'Tm8 Al2 Pd14'
_space_group_name_H-M_alt 'C 1 2/m 1'
_space_group_IT_number 12
_cell_length_a 10.699
_cell_length_b 5.036
_cell_length_c 10.064
_cell_angle_alpha 90.00
_cell_angle_beta 117.52
_cell_angle_gamma 90.00
loop_
_space_group_symop_operation_xyz
'x,y,z'
'-x,-y,-z'
'-x,y,-z'
'x,-y,z'
'x+1/2,y+1/2,z'
'-x+1/2,-y+1/2,-z'
'-x+1/2,y+1/2,-z'
'x+1/2,-y+1/2,z'
loop_
_atom_site_label
_atom_site_type_symbol
_atom_site_fract_x
_atom_site_fract_y
_atom_site_fract_z
Tm1 Tm 0.090 0.000 0.283
Tm2 Tm 0.217 0.500 0.142
Al1 Al 0.000 0.500 0.500
Pd1 Pd 0.000 0.000 0.500
Pd2 Pd 0.083 0.500 0.792
Pd3 Pd 0.132 0.000 0.019
Pd4 Pd 0.203 0.500 0.416
# Electronic total energy = -133.99 eV/cell
# Formation energy = -0.751 eV/atom
# M_tot = 0.00 μB per cell

=====

No. 7
# Tm2Al12Pd7 PBE-GGA relaxed
data_Tm2Al12Pd7
_chemical_formula_sum 'Tm2 Al12 Pd7'
_space_group_name_H-M_alt 'P -6'
_space_group_IT_number 174
_cell_length_a 9.8669
_cell_length_b 9.8669
_cell_length_c 4.1880
_cell_angle_alpha 90.00
_cell_angle_beta 90.00
_cell_angle_gamma 120.00
loop_
_space_group_symop_operation_xyz
'x,y,z'
'-x+y,-x,-z'
'-y,x-y,z'
'x,y,-z'
'-x+y,-x,z'
'-y,x-y,-z'
loop_
_atom_site_label
_atom_site_type_symbol
_atom_site_fract_x
_atom_site_fract_y
_atom_site_fract_z
Tm1 Tm 0.0000 0.0000 0.0000
Tm2 Tm 0.3333 0.6667 0.5000
Al1 Al 0.0178 0.7324 0.5000
Al2 Al 0.1533 0.3871 0.0000
Al3 Al 0.3706 0.1718 0.0000
Al4 Al 0.5392 0.1292 0.5000
Pd1 Pd 0.0228 0.5582 0.0000
Pd2 Pd 0.2392 0.0079 0.5000
Pd3 Pd 0.6667 0.3333 0.0000
# Electronic total energy = -106.10 eV/cell
# Formation energy = -0.757 eV/atom
# M_tot = 0.00 μB per cell

=====

No. 8
# TmAl8Pd4 PBE-GGA relaxed
data_TmAl8Pd4
_chemical_formula_sum 'Tm2 Al16 Pd8'
_space_group_name_H-M_alt 'I 4/m m m'
_space_group_IT_number 139
_space_group_name_Hall '-I 4 2'
_cell_length_a 8.820
_cell_length_b 8.820
_cell_length_c 5.435
_cell_angle_alpha 90.00
_cell_angle_beta 90.00
_cell_angle_gamma 90.00
loop_
_atom_site_label
_atom_site_type_symbol
_atom_site_fract_x
_atom_site_fract_y
_atom_site_fract_z
Tm1 Tm 0.000 0.000 0.000
Al1 Al 0.000 0.219 0.500
Al2 Al 0.000 0.348 0.000
Pd1 Pd 0.250 0.250 0.250
# Electronic total energy = -128.80 eV/cell
# Formation energy = -0.709 eV/atom
# M_tot = 0.00 μB per cell

=====

No. 9
# TmAl2Pd2 PBE-GGA relaxed
data_TmAl2Pd2
_chemical_formula_sum 'Tm2 Al4 Pd4'
_space_group_name_H-M_alt 'P 1 21/m 1'
_space_group_IT_number 11
_cell_length_a 4.814
_cell_length_b 4.528
_cell_length_c 8.569
_cell_angle_alpha 90.00
_cell_angle_beta 100.14
_cell_angle_gamma 90.00
loop_
_space_group_symop_operation_xyz
'x,y,z'
'-x,-y,-z'
'-x,y+1/2,-z'
'x,-y+1/2,z'
loop_
_atom_site_label
_atom_site_type_symbol
_atom_site_fract_x
_atom_site_fract_y
_atom_site_fract_z
Tm1 Tm 0.205 0.250 0.266
Al1 Al 0.257 0.250 0.638
Al2 Al 0.353 0.750 0.014
Pd1 Pd 0.119 0.250 0.907
Pd2 Pd 0.286 0.750 0.480
# Electronic total energy = -53.04 eV/cell
# Formation energy = -0.836 eV/atom
# M_tot = 0.00 μB per cell

=====

No. 10
# Tm3Al7Pd2 PBE-GGA relaxed
data_Tm3Al7Pd2
_chemical_formula_sum 'Tm9 Al21 Pd6'
_space_group_name_H-M_alt 'R -3 m'
_space_group_IT_number 166
_space_group_name_Hall '-R 3 2"'
_cell_length_a 5.4722
_cell_length_b 5.4722
_cell_length_c 25.8422
_cell_angle_alpha 90.00
_cell_angle_beta 90.00
_cell_angle_gamma 120.00
loop_
_atom_site_label
_atom_site_type_symbol
_atom_site_fract_x
_atom_site_fract_y
_atom_site_fract_z
Tm1 Tm 0.0000 0.0000 0.0000
Tm2 Tm 0.0000 0.0000 0.1439
Al1 Al 0.0000 0.0000 0.5000
Al2 Al 0.0066 0.5033 0.9197
Pd1 Pd 0.0000 0.0000 0.3355
# Electronic total energy = -174.46 eV/cell
# Formation energy = -0.680 eV/atom
# M_tot = 0.00 μB per cell

=====

No. 11
# TmAl2Pd PBE-GGA relaxed
data_TmAl2Pd
_chemical_formula_sum 'Tm3 Al6 Pd3'
_space_group_name_H-M_alt 'R -3 m'
_space_group_IT_number 166
_space_group_name_Hall '-R 3 2"'
_cell_length_a 3.3210
_cell_length_b 3.3210
_cell_length_c 25.2418
_cell_angle_alpha 90.00
_cell_angle_beta 90.00
_cell_angle_gamma 120.00
loop_
_atom_site_label
_atom_site_type_symbol
_atom_site_fract_x
_atom_site_fract_y
_atom_site_fract_z
Tm1 Tm 0.0000 0.0000 0.0000
Al1 Al 0.0000 0.0000 0.2359
Pd1 Pd 0.0000 0.0000 0.5000
# Electronic total energy = -55.32 eV/cell
# Formation energy = -0.323 eV/atom
# M_tot = 0.00 μB per cell

=====

No. 12
# Tm4AlPd5 PBE-GGA relaxed
data_Tm4AlPd5
_chemical_formula_sum 'Tm8 Al2 Pd10'
_space_group_name_H-M_alt 'I 4'
_space_group_IT_number 79
_cell_length_a 8.658
_cell_length_b 8.658
_cell_length_c 5.577
_cell_angle_alpha 90.00
_cell_angle_beta 90.00
_cell_angle_gamma 90.00
loop_
_space_group_symop_operation_xyz
'x,y,z'
'-y,x,z'
'-x,-y,z'
'y,-x,z'
'x+1/2,y+1/2,z+1/2'
'-y+1/2,x+1/2,z+1/2'
'-x+1/2,-y+1/2,z+1/2'
'y+1/2,-x+1/2,z+1/2'
loop_
_atom_site_label
_atom_site_type_symbol
_atom_site_fract_x
_atom_site_fract_y
_atom_site_fract_z
Tm1 Tm 0.081 0.304 0.000
Al1 Al 0.000 0.000 0.300
Pd1 Pd 0.000 0.000 0.829
Pd2 Pd 0.089 0.248 0.500
# Electronic total energy = -111.73 eV/cell
# Formation energy = -0.827 eV/atom
# M_tot = 0.00 μB per cell

=====

No. 13
# Tm2AlPd3 PBE-GGA relaxed
data_Tm2AlPd3
_chemical_formula_sum 'Tm6 Al3 Pd9'
_space_group_name_H-M_alt 'R -3 m'
_space_group_IT_number 166
_space_group_name_Hall '-R 3 2"'
_cell_length_a 5.5747
_cell_length_b 5.5747
_cell_length_c 12.4170
_cell_angle_alpha 90.00
_cell_angle_beta 90.00
_cell_angle_gamma 120.00
loop_
_atom_site_label
_atom_site_type_symbol
_atom_site_fract_x
_atom_site_fract_y
_atom_site_fract_z
Tm1 Tm 0.0000 0.0000 0.1294
Al1 Al 0.0000 0.0000 0.5000
Pd1 Pd 0.0000 0.5000 0.0000
# Electronic total energy = -101.15 eV/cell
# Formation energy = -0.909 eV/atom
# M_tot = 0.00 μB per cell
# Relative energy among the computed polymorphs = 0.0 meV/atom

=====

No. 14
# Tm3Al2Pd3 PBE-GGA relaxed
data_Tm3Al2Pd3
_chemical_formula_sum 'Tm6 Al4 Pd6'
_space_group_name_H-M_alt 'P 63/m c m'
_space_group_IT_number 193
_space_group_name_Hall '-P 6c 2'
_cell_length_a 8.1293
_cell_length_b 8.1293
_cell_length_c 5.5355
_cell_angle_alpha 90.00
_cell_angle_beta 90.00
_cell_angle_gamma 120.00
loop_
_atom_site_label
_atom_site_type_symbol
_atom_site_fract_x
_atom_site_fract_y
_atom_site_fract_z
Tm1 Tm 0.0000 0.2610 0.2500
Al1 Al 0.3333 0.6667 0.0000
Pd1 Pd 0.0000 0.4030 0.7500
# Electronic total energy = -86.40 eV/cell
# Formation energy = -0.840 eV/atom
# M_tot = 0.00 μB per cell

=====

No. 15
# TmAl2Pd PBE-GGA relaxed
data_TmAl2Pd
_chemical_formula_sum 'Tm8 Al16 Pd8'
_space_group_name_H-M_alt 'P n m a'
_space_group_IT_number 62
_cell_length_a 15.867
_cell_length_b 6.914
_cell_length_c 5.469
_cell_angle_alpha 90.00
_cell_angle_beta 90.00
_cell_angle_gamma 90.00
loop_
_space_group_symop_operation_xyz
'x,y,z'
'-x,-y,-z'
'-x+1/2,-y,z+1/2'
'x+1/2,y,-z+1/2'
'x+1/2,-y+1/2,-z+1/2'
'-x+1/2,y+1/2,z+1/2'
'-x,y+1/2,-z'
'x,-y+1/2,z'
loop_
_atom_site_label
_atom_site_type_symbol
_atom_site_fract_x
_atom_site_fract_y
_atom_site_fract_z
Tm1 Tm 0.108 0.250 0.228
Tm2 Tm 0.144 0.750 0.468
Al1 Al 0.033 0.052 0.738
Al2 Al 0.215 0.555 0.953
Pd1 Pd 0.073 0.750 0.989
Pd2 Pd 0.175 0.250 0.712
# Electronic total energy = -161.85 eV/cell
# Formation energy = -0.770 eV/atom
# M_tot = 0.00 μB per cell

=====

No. 16
# Tm2AlPd4 PBE-GGA relaxed
data_Tm2AlPd4
_chemical_formula_sum 'Tm4 Al2 Pd8'
_space_group_name_H-M_alt 'C 1 2/m 1'
_space_group_IT_number 12
_cell_length_a 8.068
_cell_length_b 5.489
_cell_length_c 7.692
_cell_angle_alpha 90.00
_cell_angle_beta 119.56
_cell_angle_gamma 90.00
loop_
_space_group_symop_operation_xyz
'x,y,z'
'-x,-y,-z'
'-x,y,-z'
'x,-y,z'
'x+1/2,y+1/2,z'
'-x+1/2,-y+1/2,-z'
'-x+1/2,y+1/2,-z'
'x+1/2,-y+1/2,z'
loop_
_atom_site_label
_atom_site_type_symbol
_atom_site_fract_x
_atom_site_fract_y
_atom_site_fract_z
Tm1 Tm 0.126 0.000 0.283
Al1 Al 0.000 0.500 0.000
Pd1 Pd 0.024 0.500 0.341
Pd2 Pd 0.250 0.250 0.000
# Electronic total energy = -77.03 eV/cell
# Formation energy = -0.723 eV/atom
# M_tot = 0.00 μB per cell

=====

No. 17
# TmAl2Pd9 PBE-GGA relaxed
data_TmAl2Pd9
_chemical_formula_sum 'Tm1 Al2 Pd9'
_space_group_name_H-M_alt 'P 4/m m m'
_space_group_IT_number 123
_space_group_name_Hall '-P 4 2'
_cell_length_a 3.995
_cell_length_b 3.995
_cell_length_c 11.793
_cell_angle_alpha 90.00
_cell_angle_beta 90.00
_cell_angle_gamma 90.00
loop_
_atom_site_label
_atom_site_type_symbol
_atom_site_fract_x
_atom_site_fract_y
_atom_site_fract_z
Tm1 Tm 0.000 0.000 0.000
Al1 Al 0.000 0.000 0.341
Pd1 Pd 0.000 0.500 0.180
Pd2 Pd 0.000 0.500 0.500
Pd3 Pd 0.500 0.500 0.000
Pd4 Pd 0.500 0.500 0.339
# Electronic total energy = -67.11 eV/cell
# Formation energy = -0.701 eV/atom
# M_tot = 0.00 μB per cell

=====

No. 18
# TmAl11Pd PBE-GGA relaxed
data_TmAl11Pd
_chemical_formula_sum 'Tm2 Al22 Pd2'
_space_group_name_H-M_alt 'C 1 2/m 1'
_space_group_IT_number 12
_cell_length_a 5.209
_cell_length_b 12.662
_cell_length_c 7.190
_cell_angle_alpha 90.00
_cell_angle_beta 108.66
_cell_angle_gamma 90.00
loop_
_space_group_symop_operation_xyz
'x,y,z'
'-x,-y,-z'
'-x,y,-z'
'x,-y,z'
'x+1/2,y+1/2,z'
'-x+1/2,-y+1/2,-z'
'-x+1/2,y+1/2,-z'
'x+1/2,-y+1/2,z'
loop_
_atom_site_label
_atom_site_type_symbol
_atom_site_fract_x
_atom_site_fract_y
_atom_site_fract_z
Tm1 Tm 0.000 0.000 0.000
Al1 Al 0.000 0.000 0.500
Al2 Al 0.106 0.392 0.220
Al3 Al 0.169 0.177 0.354
Al4 Al 0.250 0.250 0.000
Pd1 Pd 0.000 0.500 0.500
# Electronic total energy = -107.17 eV/cell
# Formation energy = -0.212 eV/atom
# M_tot = 0.00 μB per cell

=====

No. 19
# Tm4Al16Pd3 PBE-GGA relaxed
data_Tm4Al16Pd3
_chemical_formula_sum 'Tm4 Al16 Pd3'
_space_group_name_H-M_alt 'P 4/m m m'
_space_group_IT_number 123
_space_group_name_Hall '-P 4 2'
_cell_length_a 6.161
_cell_length_b 6.161
_cell_length_c 11.106
_cell_angle_alpha 90.00
_cell_angle_beta 90.00
_cell_angle_gamma 90.00
loop_
_atom_site_label
_atom_site_type_symbol
_atom_site_fract_x
_atom_site_fract_y
_atom_site_fract_z
Tm1 Tm 0.000 0.500 0.188
Al1 Al 0.000 0.000 0.197
Al2 Al 0.214 0.214 0.000
Al3 Al 0.243 0.243 0.375
Al4 Al 0.500 0.500 0.228
Pd1 Pd 0.000 0.500 0.500
Pd2 Pd 0.500 0.500 0.000
# Electronic total energy = -105.89 eV/cell
# Formation energy = -0.545 eV/atom
# M_tot = 0.00 μB per cell